# 1
VASP calculation (PBE) on crystalline ZnBr2 at its relaxed geometry.

The structure in POSCAR format:
```
ZnBr2
1.0
-0.808 7.336 -0.491
-4.873 5.424 1.244
3.683 -6.137 1.866
Zn Br
1 2
direct
0.000 0.000 0.000 Zn
0.384 0.384 0.000 Br
0.616 0.616 0.000 Br
```

The formation energy from raw total energies is -0.251 eV/atom. The calculation puts the volume at 27.03 A^3/atom. For the total energy, the calculation gives -1.791 eV/atom.


# 2
VASP calculation (PBE) on crystalline YMo2Se at its relaxed geometry.

The structure in POSCAR format:
```
YMo2Se
1.0
3.164 -0.004 0.000
0.003 3.164 0.000
0.000 0.000 7.640
Se Mo Y
1 2 1
direct
0.500 0.500 0.250 Se
0.000 0.000 0.059 Mo
0.000 0.000 0.441 Mo
0.500 0.500 0.750 Y
```

The formation energy from raw total energies is 0.362 eV/atom. The calculation puts the volume at 19.11 A^3/atom. For the total energy, the calculation gives -7.541 eV/atom.


# 3
VASP calculation (PBE) on crystalline GeAu2C at its relaxed geometry.

The structure in POSCAR format:
```
GeAu2C
1.0
-1.877 3.278 -3.273
-0.144 -3.571 -3.494
-6.672 -1.635 -1.628
Au Ge C
4 2 2
direct
0.875 0.772 0.750 Au
0.375 0.478 0.750 Au
0.522 0.125 0.250 Au
0.228 0.625 0.250 Au
0.750 0.250 0.500 Ge
0.000 0.000 0.000 Ge
0.250 0.750 0.500 C
0.500 0.500 0.000 C
```

The polymorph energy (0 for the lowest one) is 0.0000 eV per atom. The calculation puts the volume at 19.08 A^3/atom. The calculation puts the formation energy at 891.8 meV per atom. For the total energy, the calculation gives -4.207 eV/atom.


# 4
VASP calculation (PBE) on crystalline SmZn2Hg at its relaxed geometry.

The structure in POSCAR format:
```
SmZn2Hg
1.0
-4.634 -1.387 0.590
-2.724 -1.113 -3.885
-1.283 -4.627 -0.831
Hg Sm Zn
1 1 2
direct
0.500 0.500 0.500 Hg
0.000 0.000 0.000 Sm
0.750 0.750 0.750 Zn
0.250 0.250 0.250 Zn
```

The polymorph energy (0 for the lowest one) is 0.0123 eV per atom. The calculation puts the volume at 20.46 A^3/atom. The calculation puts the formation energy at -283.0 meV per atom. For the total energy, the calculation gives -2.175 eV/atom.


# 5
VASP calculation (PBE) on crystalline Cu2NiIr at its relaxed geometry.

The structure in POSCAR format:
```
Cu2NiIr
1.0
-0.639 4.408 2.204
1.489 0.510 4.713
1.184 -0.945 -4.733
Cu Ni Ir
2 1 1
direct
0.002 0.002 0.000 Cu
0.756 0.256 0.500 Cu
0.247 0.747 0.500 Ni
0.495 0.495 0.000 Ir
```

The polymorph energy (0 for the lowest one) is 0.0874 eV per atom. The calculation puts the volume at 12.48 A^3/atom. The calculation puts the formation energy at 139.7 meV per atom. For the total energy, the calculation gives -5.569 eV/atom.


# 6
VASP calculation (PBE) on crystalline Cs2Sn2AsSe2 at its relaxed geometry.

The structure in POSCAR format:
```
Cs2Sn2AsSe2
1.0
-0.243 3.934 3.451
5.060 -1.493 6.045
8.863 1.024 -0.534
Sn Se Cs As
2 2 2 1
direct
0.203 0.595 0.305 Sn
0.797 0.405 0.695 Sn
0.189 0.621 0.601 Se
0.811 0.379 0.399 Se
0.443 0.113 0.215 Cs
0.557 0.887 0.785 Cs
0.000 0.000 0.000 As
```

The formation energy from raw total energies is -0.538 eV/atom. The calculation puts the volume at 40.90 A^3/atom. For the total energy, the calculation gives -3.585 eV/atom.


# 7
VASP calculation (PBE) on crystalline TaAs2Ir at its relaxed geometry.

The structure in POSCAR format:
```
TaAs2Ir
1.0
4.431 0.000 0.000
0.000 4.431 0.000
0.000 0.000 3.218
As Ta Ir
2 1 1
direct
0.500 0.500 0.000 As
0.000 0.000 0.000 As
0.000 0.500 0.500 Ta
0.500 0.000 0.500 Ir
```

The polymorph energy (0 for the lowest one) is 0.0540 eV per atom. The calculation puts the volume at 15.79 A^3/atom. The calculation puts the formation energy at -160.1 meV per atom. For the total energy, the calculation gives -7.663 eV/atom.


# 8
VASP calculation (PBE) on crystalline Sm3Be2Ge4 at its relaxed geometry.

The structure in POSCAR format:
```
Sm3Be2Ge4
1.0
4.062 0.000 0.000
-2.031 5.501 -0.173
0.000 -2.467 8.010
Ge Sm Be
4 3 2
direct
0.285 0.570 0.929 Ge
0.108 0.216 0.396 Ge
0.715 0.430 0.071 Ge
0.892 0.784 0.604 Ge
0.381 0.761 0.313 Sm
0.619 0.239 0.687 Sm
0.000 0.000 0.000 Sm
0.313 0.626 0.657 Be
0.687 0.374 0.343 Be
```

The calculation puts the volume at 19.69 A^3/atom. The calculation puts the formation energy at -594.9 meV per atom. For the total energy, the calculation gives -5.048 eV/atom.